No. 1
First-principles (GGA-PBE) data for crystalline Tb15DyIn4 at its relaxed geometry, as listed in the Alexandria database.

## Properties
- ΔH_f (0 K) (kcal/mol of atoms) = -4.7

Structure (POSCAR):
```
Tb15DyIn4
1.0
4.871 0.000 0.000
0.000 4.871 0.000
0.000 0.000 24.754
Tb Dy In
15 1 4
Cartesian
0.000 0.000 0.000
0.000 0.000 5.061
0.000 0.000 9.947
0.000 0.000 14.807
0.000 0.000 19.693
0.000 2.436 2.594
0.000 2.436 7.497
0.000 2.436 12.377
0.000 2.436 17.256
0.000 2.436 22.159
2.436 0.000 2.594
2.436 0.000 7.497
2.436 0.000 12.377
2.436 0.000 17.256
2.436 0.000 22.159
2.436 2.436 0.000
2.436 2.436 5.098
2.436 2.436 9.941
2.436 2.436 14.812
2.436 2.436 19.656
```

No. 2
First-principles (GGA-PBE) data for crystalline ReSbMo2 at its relaxed geometry, as listed in the Alexandria database.

## Properties
- energy relative to the elements, uncorrected (meV/atom) = 366

Structure (POSCAR):
```
ReSbMo2
1.0
3.230 0.000 0.000
0.000 4.387 0.000
0.000 0.000 4.714
Re Sb Mo
1 1 2
Cartesian
0.000 0.000 0.000
1.615 0.000 2.357
0.000 2.193 2.357
1.615 2.193 0.000
```

No. 3
First-principles (GGA-PBE) data for crystalline HPd2Ru2 at its relaxed geometry, as listed in the Alexandria database.

## Properties
- final energy (eV per atom) = -6.11

Structure (POSCAR):
```
HPd2Ru2
1.0
5.233 0.000 0.000
0.000 5.233 0.000
0.000 0.000 4.706
H Pd Ru
2 4 4
Cartesian
0.000 0.000 0.000
2.616 2.616 0.000
0.931 1.685 2.353
1.685 4.301 2.353
3.548 0.931 2.353
4.301 3.548 2.353
0.886 3.502 0.000
1.731 0.886 0.000
3.502 4.347 0.000
4.347 1.731 0.000
```

No. 4
First-principles (GGA-PBE) data for crystalline Re2PRh at its relaxed geometry, as listed in the Alexandria database.

## Properties
- ΔH_f (0 K) (kcal/mol of atoms) = 9.9

Structure (POSCAR):
```
Re2PRh
1.0
6.145 0.000 0.000
0.000 6.145 0.000
0.000 0.000 6.145
Re P Rh
8 4 4
Cartesian
0.000 0.000 0.000
0.000 3.073 3.073
1.536 1.536 1.536
1.536 4.609 4.609
3.073 0.000 3.073
3.073 3.073 0.000
4.609 1.536 4.609
4.609 4.609 1.536
1.536 1.536 4.609
1.536 4.609 1.536
4.609 1.536 1.536
4.609 4.609 4.609
0.000 0.000 3.073
0.000 3.073 0.000
3.073 0.000 0.000
3.073 3.073 3.073
```